{
  "formula": "InRh3N",
  "functional": "PBE",
  "state": "relaxed",
  "magmom_total_mub_per_fu": 5.04,
  "polymorph_energy_ev_per_atom": 2.5292,
  "raw_formation_energy_mev_per_atom": 2501,
  "sg": "No. 221",
  "e_tot_ev_per_cell": -20.6,
  "volume_a3_per_atom": 24.7,
  "cell": [[-0.597, 4.783, -1.246], [-4.580, -0.063, 1.952], [1.859, 1.381, 4.407]],
  "species": ["Rh", "Rh", "N", "Rh", "In"],
  "frac_coords": [[0.500, 0.000, 0.000], [0.000, 0.500, 0.000], [0.500, 0.500, 0.500], [0.000, 0.000, 0.500], [0.000, 0.000, 0.000]]
}